(1)
A plane-wave DFT calculation with PBE was carried out for crystalline Cd2Ga2Au at its relaxed geometry.

Cell: 7.365 7.365 4.027 Å, 90.00 90.00 90.00°
Fractional positions:
Cd (0.145, 0.355, 0.000)
Cd (0.355, 0.855, 0.000)
Cd (0.645, 0.145, 0.000)
Cd (0.855, 0.645, 0.000)
Ga (0.158, 0.658, 0.500)
Ga (0.342, 0.158, 0.500)
Ga (0.658, 0.842, 0.500)
Ga (0.842, 0.342, 0.500)
Au (0.000, 0.000, 0.000)
Au (0.500, 0.500, 0.000)

- space group = P4/mbm
- crystal system = tetragonal
- ΔH_f (0 K) (meV/atom) = 87
- calculated volume (Å³/f.u.) = 109.2

(2)
A plane-wave DFT calculation with PBE was carried out for crystalline CdGaAu2 at its relaxed geometry.

Cell: 7.394 3.266 7.859 Å, 90.00 110.42 90.00°
Fractional positions:
Cd (0.242, 0.250, 0.130)
Cd (0.758, 0.750, 0.870)
Ga (0.208, 0.750, 0.595)
Ga (0.792, 0.250, 0.405)
Au (0.003, 0.750, 0.257)
Au (0.426, 0.250, 0.837)
Au (0.574, 0.750, 0.163)
Au (0.997, 0.250, 0.743)

- space group = P2_1/m
- crystal system = monoclinic
- ΔH_f (0 K) (meV/atom) = -114
- calculated volume (Å³/f.u.) = 88.9

(3)
A plane-wave DFT calculation with PBE was carried out for crystalline CdGa2Au6 at its relaxed geometry.

Cell: 9.683 9.683 4.358 Å, 99.39 99.39 57.03°
Fractional positions:
Cd (0.124, 0.876, 0.750)
Cd (0.876, 0.124, 0.250)
Ga (0.185, 0.508, 0.883)
Ga (0.492, 0.815, 0.617)
Ga (0.508, 0.185, 0.383)
Ga (0.815, 0.492, 0.117)
Au (0.019, 0.229, 0.787)
Au (0.146, 0.363, 0.342)
Au (0.229, 0.019, 0.287)
Au (0.327, 0.548, 0.454)
Au (0.363, 0.146, 0.842)
Au (0.452, 0.673, 0.046)
Au (0.548, 0.327, 0.954)
Au (0.637, 0.854, 0.158)
Au (0.673, 0.452, 0.546)
Au (0.771, 0.981, 0.713)
Au (0.854, 0.637, 0.658)
Au (0.981, 0.771, 0.213)

- space group = C2/c
- crystal system = monoclinic
- ΔH_f (0 K) (meV/atom) = -121
- calculated volume (Å³/f.u.) = 168.4

Number 1: E -2.145 eV per atom, mass density 8.533 g/cm3, total moment 0.0 μB per cell. Number 2: E -2.738 eV per atom, mass density 10.755 g/cm3, total moment 0.0 μB per cell. Number 3: E -3.080 eV per atom, mass density 14.133 g/cm3, total moment 0.0 μB per cell.